First-principles (PBE-GGA) data for a relaxed SrCd2SnPb crystal, as listed in OQMD.

Cell lengths 4.906, 4.906, 12.462 Å; angles 90.00, 90.00, 90.00 degrees
Positions (direct):
1 Cd 0.500 0.000 0.355
2 Cd 0.000 0.000 0.000
3 Cd 0.000 0.500 0.645
4 Cd 0.500 0.500 0.000
5 Sr 0.500 0.000 0.762
6 Sr 0.000 0.500 0.238
7 Sn 0.500 0.000 0.133
8 Sn 0.000 0.500 0.867
9 Pb 0.500 0.500 0.500
10 Pb 0.000 0.000 0.500

Values from the calculation:
energy: -25.41 eV per cell
symmetry: P4/nmm (129)

=====

First-principles (PBE-GGA) data for a relaxed Sr4CdPb3 crystal, as listed in OQMD.

Cell lengths 11.761, 11.761, 11.761 Å; angles 153.36, 153.36, 38.04 degrees
Positions (direct):
1 Sr 0.375 0.873 0.000
2 Sr 0.625 0.625 0.498
3 Sr 0.873 0.375 0.000
4 Sr 0.127 0.127 0.502
5 Pb 0.250 0.750 0.500
6 Pb 0.750 0.250 0.500
7 Pb 0.500 0.500 0.000
8 Cd 0.000 0.000 0.000

Values from the calculation:
energy: -19.07 eV per cell
symmetry: I-42m (121)

=====

First-principles (PBE-GGA) data for a relaxed TaCd2Pb crystal, as listed in OQMD.

Cell lengths 5.015, 5.015, 5.015 Å; angles 60.00, 60.00, 60.00 degrees
Last column: magnetic moment on the atom in μB.
Positions (direct):
1 Cd 0.000 0.000 0.000  0.00
2 Cd 0.750 0.750 0.750  -0.01
3 Pb 0.500 0.500 0.500  0.01
4 Ta 0.250 0.250 0.250  0.93

Values from the calculation:
energy: -14.50 eV per cell
size of the total moment: 1.3 Bohr magnetons per cell
symmetry: F-43m (216)

=====

First-principles (PBE-GGA) data for a relaxed TaCdPb crystal, as listed in OQMD.

Cell lengths 4.807, 4.807, 4.807 Å; angles 60.00, 60.00, 60.00 degrees
Positions (direct):
1 Cd 0.250 0.250 0.250
2 Pb 0.000 0.000 0.000
3 Ta 0.750 0.750 0.750

Values from the calculation:
energy: -13.01 eV per cell
energy above the most stable polymorph in this dataset: 249 meV per atom
size of the total moment: 2.5 Bohr magnetons per cell
symmetry: F-43m (216)

=====

First-principles (PBE-GGA) data for a relaxed Tb2Cd3Pb3 crystal, as listed in OQMD.

Cell lengths 4.666, 4.923, 9.073 Å; angles 90.00, 90.00, 90.00 degrees
Positions (direct):
1 Tb 0.000 0.000 0.749
2 Tb 0.000 0.000 0.251
3 Cd 0.000 0.500 0.000
4 Cd 0.500 0.500 0.762
5 Cd 0.500 0.500 0.238
6 Pb 0.500 0.000 0.000
7 Pb 0.000 0.500 0.500
8 Pb 0.500 0.000 0.500

Values from the calculation:
energy: -25.74 eV per cell
size of the total moment: 0.0 Bohr magnetons per cell
symmetry: Pmmm (47)

=====

First-principles (PBE-GGA) data for a relaxed TbCd2Pb crystal, as listed in OQMD.

Cell lengths 4.526, 4.526, 4.891 Å; angles 90.00, 90.00, 90.00 degrees
Positions (direct):
1 Cd 0.500 0.000 0.000
2 Cd 0.000 0.500 0.000
3 Tb 0.500 0.500 0.500
4 Pb 0.000 0.000 0.500

Values from the calculation:
energy: -11.52 eV per cell
size of the total moment: 0.0 Bohr magnetons per cell
symmetry: P4/mmm (123)

=====

First-principles (PBE-GGA) data for a relaxed CdTePb crystal, as listed in OQMD.

Cell lengths 4.507, 8.602, 10.400 Å; angles 90.00, 90.00, 90.00 degrees
Positions (direct):
1 Pb 0.750 0.050 0.868
2 Pb 0.250 0.550 0.632
3 Pb 0.750 0.450 0.368
4 Pb 0.250 0.950 0.132
5 Cd 0.250 0.212 0.504
6 Cd 0.750 0.788 0.496
7 Cd 0.250 0.288 0.004
8 Cd 0.750 0.712 0.996
9 Te 0.750 0.062 0.324
10 Te 0.250 0.938 0.676
11 Te 0.250 0.562 0.176
12 Te 0.750 0.438 0.824

Values from the calculation:
energy: -32.60 eV per cell
energy above the most stable polymorph in this dataset: 0 meV per atom
symmetry: Pnma (62)

=====

First-principles (PBE-GGA) data for a relaxed CdTe3Pb crystal, as listed in OQMD.

Cell lengths 8.813, 9.302, 8.291 Å; angles 90.00, 90.00, 90.00 degrees
Positions (direct):
1 Pb 0.089 0.250 0.983
2 Pb 0.911 0.750 0.017
3 Pb 0.589 0.250 0.517
4 Pb 0.411 0.750 0.483
5 Te 0.786 0.403 0.814
6 Te 0.408 0.250 0.179
7 Te 0.714 0.903 0.314
8 Te 0.214 0.903 0.186
9 Te 0.786 0.097 0.814
10 Te 0.286 0.097 0.686
11 Te 0.592 0.750 0.821
12 Te 0.908 0.250 0.321
13 Te 0.214 0.597 0.186
14 Te 0.714 0.597 0.314
15 Te 0.286 0.403 0.686
16 Te 0.092 0.750 0.679
17 Cd 0.000 0.000 0.500
18 Cd 0.500 0.500 0.000
19 Cd 0.000 0.500 0.500
20 Cd 0.500 0.000 0.000

Values from the calculation:
energy: -60.34 eV per cell
symmetry: Pnma (62)